No. 1
DFT (PBE) results for an optimized crystal structure of Ac8Te4Ir3I.

abc: 9.110 9.512 9.110
angles: 118.61 120.00 90.00
Fractional positions:
Ac 0.254 0.716 0.963
Ac 0.254 0.716 0.507
Ac 0.264 0.293 0.529
Ac 0.709 0.716 0.963
Ac 0.291 0.284 0.037
Ac 0.736 0.707 0.471
Ac 0.746 0.284 0.493
Ac 0.746 0.284 0.037
Te 0.500 0.000 0.000
Te 0.500 0.000 0.500
Te 0.000 0.000 0.000
Te 0.000 0.000 0.500
Ir 0.500 0.500 0.000
Ir 0.500 0.500 0.500
Ir 0.000 0.500 0.500
I 0.000 0.500 0.000

Values from the calculation:
**SG**: No. 166
**Formation energy without anion corrections**: -1.12 eV/atom



No. 2
DFT (PBE) results for an optimized crystal structure of Li2Cd2Pd3.

abc: 4.962 4.158 6.162
angles: 89.84 96.91 114.86
Fractional positions:
Li 0.289 0.145 0.412
Li 0.711 0.855 0.588
Cd 0.852 0.426 0.273
Cd 0.148 0.574 0.727
Pd 0.000 0.000 0.000
Pd 0.560 0.280 0.839
Pd 0.440 0.720 0.161

Values from the calculation:
**SG**: No. 2
**DFT formation energy**: -0.378 eV/atom
**Energy above the most stable polymorph in this dataset**: 0 meV/atom



Number 1: VASP energy -5.72 eV/atom, mass density 8.83 g/cm³. Number 2: VASP energy -3.41 eV/atom, mass density 8.10 g/cm³.